1.
First-principles (PBE-GGA) data for an optimized crystal structure of InPd5Au4, as listed in Alexandria.

POSCAR file:
```
InPd5Au4
1.0
-1.2227 -3.0866 0.1425
1.5878 -0.4961 2.8767
-12.2446 5.2038 7.6557
In Pd Au
1 5 4
Cartesian
0.0000 0.0000 0.0000
-1.0180 -1.2811 2.2602
-3.4965 -0.2278 3.8099
-5.9397 0.8106 5.3375
-8.3830 1.8489 6.8651
-10.8615 2.9023 8.4147
-2.4784 1.0533 1.5496
-4.9062 2.0851 3.0675
-7.3384 3.1187 4.5882
-9.7662 4.1506 6.1062
```

## Properties
For the total energy, the calculation gives -4.38 eV per atom.



2.
First-principles (PBE-GGA) data for an optimized crystal structure of In3Pd3Au2, as listed in Alexandria.

POSCAR file:
```
In3Pd3Au2
1.0
-1.9796 2.7108 4.3139
-7.0528 0.9060 -3.8059
1.2725 -6.4672 4.6480
In Pd Au
6 6 4
Cartesian
-6.6645 2.6985 0.4402
-3.0198 0.5563 3.4590
-0.5502 -2.7166 6.6490
-2.3679 0.9183 0.0678
-4.7401 -3.4066 1.6969
-0.1570 -1.0398 2.3128
-4.1458 2.3750 1.7994
-5.0841 -1.4298 3.7598
-1.0046 -0.4070 4.9891
-4.8867 1.2419 -1.2915
-2.6758 -1.4205 1.3962
0.2975 -3.3494 3.9727
-1.5026 -4.0095 1.8300
-5.2675 -0.1963 1.1690
-4.2777 -1.5517 -0.9879
-2.4924 -2.6540 3.9869
```

## Properties
For the total energy, the calculation gives -4.11 eV per atom.



3.
First-principles (PBE-GGA) data for an optimized crystal structure of In4PdAu12, as listed in Alexandria.

POSCAR file:
```
In4PdAu12
1.0
8.0745 0.0000 0.0000
-2.6915 7.6127 0.0000
-2.6915 -3.8063 6.5928
In Pd Au
4 1 12
Cartesian
-1.3457 3.8063 0.0000
4.0372 0.0000 0.0000
1.3457 1.9032 3.2964
-1.3457 -1.9032 3.2964
0.0000 0.0000 0.0000
5.3941 1.8953 1.3649
1.1144 3.2370 0.9590
4.2686 -1.3574 4.2690
-0.0111 -1.6767 5.6338
-1.5771 5.1637 2.3238
1.5771 0.5694 5.6338
2.6804 -0.2343 2.3238
0.0111 4.0407 4.2690
2.7026 5.4830 0.9590
3.8059 3.0183 3.3100
-1.1144 0.7880 3.2828
-2.7026 1.9110 5.2279
```

## Properties
For the total energy, the calculation gives -2.98 eV per atom.



4.
First-principles (PBE-GGA) data for an optimized crystal structure of In2Pd9Au, as listed in Alexandria.

POSCAR file:
```
In2Pd9Au
1.0
4.0346 0.0000 0.0000
0.0000 4.0346 0.0000
0.0000 0.0000 12.0092
In Pd Au
2 9 1
Cartesian
0.0000 0.0000 3.9866
0.0000 0.0000 8.0226
2.0173 2.0173 0.0000
2.0173 2.0173 3.9947
2.0173 2.0173 8.0145
2.0173 0.0000 1.9919
2.0173 0.0000 6.0046
2.0173 0.0000 10.0173
0.0000 2.0173 1.9919
0.0000 2.0173 6.0046
0.0000 2.0173 10.0173
0.0000 0.0000 0.0000
```

## Properties
For the total energy, the calculation gives -4.92 eV per atom.



5.
First-principles (PBE-GGA) data for an optimized crystal structure of In2PdAu2, as listed in Alexandria.

POSCAR file:
```
In2PdAu2
1.0
3.7666 0.0000 0.0000
0.0000 3.7666 0.0000
1.8833 1.8833 7.4555
Au Pd In
2 1 2
Cartesian
3.7666 1.8833 3.7277
1.8833 3.7666 3.7277
0.0000 0.0000 0.0000
1.8833 1.8833 1.4404
3.7666 3.7666 6.0151
```

## Properties
For the total energy, the calculation gives -3.54 eV per atom.



6.
First-principles (PBE-GGA) data for an optimized crystal structure of InPdAu5, as listed in Alexandria.

POSCAR file:
```
InPdAu5
1.0
-2.1439 -0.8182 -5.2181
-5.3712 -1.7941 4.4660
-0.2719 7.1414 0.9698
In Pd Au
2 2 10
Cartesian
-3.5254 -0.1647 -2.2072
-4.2616 4.6937 2.4250
0.0000 0.0000 0.0000
-3.8935 2.2645 0.1089
-6.0340 2.6454 1.8864
-5.5706 -0.2478 0.3778
-0.9549 2.4584 0.9646
-5.1273 4.6460 -0.3255
-3.4977 4.0009 -2.6255
-4.2893 0.5281 2.8433
-2.6597 -0.1170 0.5432
-6.8321 2.0706 -0.7468
-2.2164 4.7768 -0.1600
-1.7530 1.8836 -1.6686
```

## Properties
For the total energy, the calculation gives -3.51 eV per atom.